Computed, not measured: a relaxed structure of BeTcRh at the GGA-PBE level of DFT.

a = 4.030 Å, b = 4.030 Å, c = 2.677 Å
α = 90.00°, β = 90.00°, γ = 120.00°
Sites, in units of the cell vectors:
Be 0.000 0.000 0.000
Tc 0.667 0.333 0.498
Rh 0.333 0.667 0.998

Computed properties:
ρ	9.3	g/cm3
E above lowest polymorph	0.172	eV/atom
crystal system	trigonal

***

Computed, not measured: a relaxed structure of BeTcRh at the GGA-PBE level of DFT.

a = 4.239 Å, b = 4.239 Å, c = 5.204 Å
α = 90.00°, β = 90.00°, γ = 120.00°
Sites, in units of the cell vectors:
Be 0.000 0.000 0.000
Be 0.000 0.000 0.500
Tc 0.333 0.667 0.250
Tc 0.667 0.333 0.750
Rh 0.333 0.667 0.750
Rh 0.667 0.333 0.250

Computed properties:
ρ	8.6	g/cm3
E above lowest polymorph	0.550	eV/atom
crystal system	hexagonal

***

Computed, not measured: a relaxed structure of Be17TcRh at the GGA-PBE level of DFT.

a = 5.458 Å, b = 5.458 Å, c = 5.458 Å
α = 82.99°, β = 82.99°, γ = 82.99°
Sites, in units of the cell vectors:
Be 0.050 0.050 0.050
Be 0.153 0.457 0.853
Be 0.153 0.853 0.457
Be 0.161 0.161 0.650
Be 0.161 0.650 0.161
Be 0.256 0.256 0.256
Be 0.310 0.803 0.803
Be 0.457 0.153 0.853
Be 0.457 0.853 0.153
Be 0.504 0.504 0.992
Be 0.504 0.992 0.504
Be 0.650 0.161 0.161
Be 0.803 0.310 0.803
Be 0.803 0.803 0.310
Be 0.853 0.153 0.457
Be 0.853 0.457 0.153
Be 0.992 0.504 0.504
Tc 0.494 0.494 0.494
Rh 0.812 0.812 0.812

Computed properties:
ρ	3.7	g/cm3
energy	-4.472	eV/atom
crystal system	trigonal

***

Computed, not measured: a relaxed structure of BeTc2Rh at the GGA-PBE level of DFT.

a = 2.739 Å, b = 2.739 Å, c = 6.773 Å
α = 90.00°, β = 90.00°, γ = 90.00°
Sites, in units of the cell vectors:
Be 0.000 0.000 0.000
Tc 0.500 0.500 0.215
Tc 0.500 0.500 0.785
Rh 0.000 0.000 0.500

Computed properties:
ρ	10.1	g/cm3
energy	-8.033	eV/atom
crystal system	tetragonal

***

Computed, not measured: a relaxed structure of BeTcRh at the GGA-PBE level of DFT.

a = 4.908 Å, b = 4.908 Å, c = 4.902 Å
α = 119.85°, β = 119.85°, γ = 48.97°
Sites, in units of the cell vectors:
Be 0.159 0.159 0.159
Be 0.841 0.841 0.841
Tc 0.500 0.500 0.244
Tc 0.500 0.500 0.756
Rh 0.173 0.173 0.673
Rh 0.827 0.827 0.327

Computed properties:
ρ	9.3	g/cm3
E above lowest polymorph	0.051	eV/atom
crystal system	monoclinic

***

Computed, not measured: a relaxed structure of BeTcRh at the GGA-PBE level of DFT.

a = 5.714 Å, b = 4.790 Å, c = 4.442 Å
α = 76.37°, β = 54.56°, γ = 49.07°
Sites, in units of the cell vectors:
Be 0.250 0.250 0.250
Be 0.750 0.750 0.750
Tc 0.162 0.838 0.162
Tc 0.838 0.162 0.838
Rh 0.348 0.348 0.652
Rh 0.652 0.652 0.348

Computed properties:
ρ	9.6	g/cm3
E above lowest polymorph	0.025	eV/atom
crystal system	orthorhombic